LiHf2IrI | PBE-GGA | optimized geometry

Lattice parameters (Å, degrees): 5.1789 5.1789 4.2754 90.00 90.00 90.00
Last column: nearest neighbours and their distance in Å.
Space group P4/mmm (No. 123)
Symmetry-distinct sites (fractional):
Li: 0.0000 0.0000 0.0000 (multiplicity 1)  2 I 2.14
Hf: 0.0000 0.5000 0.5000 (multiplicity 2)  2 I 2.59
Ir: 0.5000 0.5000 0.0000 (multiplicity 1)  8 Hf 3.36, 4 Li 3.66
I: 0.0000 0.0000 0.5000 (multiplicity 1)  2 Li 2.14

Summary:
Density of states at the Fermi level = 0.826 states/eV/atom
Raw formation energy = 1086 meV per atom


HfIrIN2 | PBE-GGA | optimized geometry

Lattice parameters (Å, degrees): 3.8532 3.8532 6.7892 90.00 90.00 90.00
Last column: nearest neighbours and their distance in Å.
Space group P4/mmm (No. 123)
Symmetry-distinct sites (fractional):
Hf: 0.0000 0.0000 0.0000 (multiplicity 1)  4 I 2.72
Ir: 0.5000 0.5000 0.5000 (multiplicity 1)  4 N 1.93
I: 0.5000 0.5000 0.0000 (multiplicity 1)  4 Hf 2.72
N: 0.0000 0.5000 0.5000 (multiplicity 2)  2 Ir 1.93

Summary:
Density of states at the Fermi level = 0.704 states/eV/atom
Energy above the lowest structure with this stoichiometry = 1.18 eV/f.u.
Raw formation energy = 1238 meV per atom


HfIrIN2 | PBE-GGA | optimized geometry

Lattice parameters (Å, degrees): 4.0428 4.0428 6.2104 90.00 90.00 90.00
Last column: nearest neighbours and their distance in Å.
Space group P4/mmm (No. 123)
Symmetry-distinct sites (fractional):
Hf: 0.0000 0.0000 0.0000 (multiplicity 1)  4 N 2.02
Ir: 0.5000 0.5000 0.5000 (multiplicity 1)  4 I 2.86
I: 0.0000 0.0000 0.5000 (multiplicity 1)  4 Ir 2.86, 2 Hf 3.11
N: 0.0000 0.5000 0.0000 (multiplicity 2)  2 Hf 2.02

Summary:
Density of states at the Fermi level = 0.962 states/eV/atom
Energy above the lowest structure with this stoichiometry = 0.00 eV/f.u.
Raw formation energy = 1002 meV per atom


HfIrI2O | PBE-GGA | optimized geometry

Lattice parameters (Å, degrees): 5.6830 5.6830 3.8856 90.00 90.00 90.00
Last column: nearest neighbours and their distance in Å.
Space group P4/mmm (No. 123)
Symmetry-distinct sites (fractional):
Hf: 0.0000 0.0000 0.0000 (multiplicity 1)  2 O 1.94
Ir: 0.5000 0.5000 0.5000 (multiplicity 1)  8 I 3.44
I: 0.0000 0.5000 0.0000 (multiplicity 2)  2 Hf 2.84
O: 0.0000 0.0000 0.5000 (multiplicity 1)  2 Hf 1.94

Summary:
Density of states at the Fermi level = 0.826 states/eV/atom
Energy above the lowest structure with this stoichiometry = 0.00 eV/f.u.
Raw formation energy = -120 meV per atom